Below is a relaxed Er3In3CuIr2 crystal, with properties calculated at the PBE-GGA level.

Unit cell a=7.5555 b=7.5555 c=3.7998 alpha=90.00 beta=90.00 gamma=120.00
Space group P-62m (No. 189)
One atom of each set of equivalent atoms:
Er 0.0000 0.5868 0.0000 (multiplicity 3)
In 0.0000 0.2534 0.5000 (multiplicity 3)
Cu 0.0000 0.0000 0.0000 (multiplicity 1)
Ir 0.3333 0.6667 0.5000 (multiplicity 2)

Computed properties:
The crystal system is hexagonal. The size of the total moment comes out at 0.0 μB per formula unit. The total energy is -5.450 eV/atom. For the volume, the calculation gives 187.9 Å³/f.u.

=====

Below is a relaxed Er3In3CuIrPt crystal, with properties calculated at the PBE-GGA level.

Unit cell a=7.6006 b=7.6006 c=3.7903 alpha=90.00 beta=90.00 gamma=120.00
Space group P-6 (No. 174)
One atom of each set of equivalent atoms:
Er 0.0835 0.7418 0.0000 (multiplicity 3)
In 0.4146 0.0797 0.5000 (multiplicity 3)
Cu 0.6667 0.3333 0.0000 (multiplicity 1)
Ir 0.3333 0.6667 0.5000 (multiplicity 1)
Pt 0.0000 0.0000 0.5000 (multiplicity 1)

Computed properties:
The crystal system is hexagonal. The size of the total moment comes out at 0.0 μB per formula unit. The total energy is -5.245 eV/atom. For the volume, the calculation gives 189.6 Å³/f.u.

=====

Below is a relaxed Tb2ErIn3CuIr2 crystal, with properties calculated at the PBE-GGA level.

Unit cell a=3.858 b=13.068 c=7.590 alpha=90.00 beta=90.00 gamma=90.00
Space group Amm2 (No. 38)
One atom of each set of equivalent atoms:
Tb 0.000 0.207 0.000 (multiplicity 4)
Er 0.000 0.000 0.621 (multiplicity 2)
In 0.500 0.000 0.954 (multiplicity 2)
In 0.500 0.126 0.333 (multiplicity 4)
Cu 0.000 0.000 0.208 (multiplicity 2)
Ir 0.500 0.165 0.706 (multiplicity 4)

Computed properties:
The crystal system is orthorhombic. The size of the total moment comes out at 0.0 μB per formula unit. The total energy is -5.458 eV/atom. For the volume, the calculation gives 191.3 Å³/f.u.

=====

Below is a relaxed TbEr2In3CuIr2 crystal, with properties calculated at the PBE-GGA level.

Unit cell a=3.760 b=13.214 c=7.598 alpha=90.00 beta=90.00 gamma=90.00
Space group Amm2 (No. 38)
One atom of each set of equivalent atoms:
Tb 0.000 0.000 0.000 (multiplicity 2)
Er 0.000 0.206 0.618 (multiplicity 4)
In 0.500 0.000 0.668 (multiplicity 2)
In 0.500 0.129 0.284 (multiplicity 4)
Cu 0.000 0.000 0.413 (multiplicity 2)
Ir 0.500 0.168 0.911 (multiplicity 4)

Computed properties:
The crystal system is orthorhombic. The size of the total moment comes out at 0.0 μB per formula unit. The total energy is -5.453 eV/atom. For the volume, the calculation gives 188.7 Å³/f.u.

=====

Below is a relaxed ErTm2In3CuIr2 crystal, with properties calculated at the PBE-GGA level.

Unit cell a=3.693 b=13.232 c=7.629 alpha=90.00 beta=90.00 gamma=90.00
Space group Amm2 (No. 38)
One atom of each set of equivalent atoms:
Er 0.000 0.000 0.000 (multiplicity 2)
Tm 0.000 0.205 0.384 (multiplicity 4)
In 0.500 0.000 0.332 (multiplicity 2)
In 0.500 0.129 0.718 (multiplicity 4)
Cu 0.000 0.000 0.589 (multiplicity 2)
Ir 0.500 0.167 0.089 (multiplicity 4)

Computed properties:
The crystal system is orthorhombic. The size of the total moment comes out at 0.0 μB per formula unit. The total energy is -5.429 eV/atom. For the volume, the calculation gives 186.4 Å³/f.u.

=====

Below is a relaxed Er2TmIn3CuIr2 crystal, with properties calculated at the PBE-GGA level.

Unit cell a=3.706 b=13.221 c=7.643 alpha=90.00 beta=90.00 gamma=90.00
Space group Amm2 (No. 38)
One atom of each set of equivalent atoms:
Er 0.000 0.206 0.000 (multiplicity 4)
Tm 0.000 0.000 0.384 (multiplicity 2)
In 0.500 0.000 0.052 (multiplicity 2)
In 0.500 0.129 0.666 (multiplicity 4)
Cu 0.000 0.000 0.794 (multiplicity 2)
Ir 0.500 0.166 0.295 (multiplicity 4)

Computed properties:
The crystal system is orthorhombic. The size of the total moment comes out at 0.0 μB per formula unit. The total energy is -5.439 eV/atom. For the volume, the calculation gives 187.3 Å³/f.u.

=====

Below is a relaxed ErLu2In3CuPt2 crystal, with properties calculated at the PBE-GGA level.

Unit cell a=3.645 b=13.377 c=7.704 alpha=90.00 beta=90.00 gamma=90.00
Space group Amm2 (No. 38)
One atom of each set of equivalent atoms:
Er 0.000 0.000 0.000 (multiplicity 2)
Lu 0.000 0.205 0.614 (multiplicity 4)
In 0.500 0.000 0.667 (multiplicity 2)
In 0.500 0.129 0.281 (multiplicity 4)
Cu 0.000 0.000 0.410 (multiplicity 2)
Pt 0.500 0.168 0.909 (multiplicity 4)

Computed properties:
The crystal system is orthorhombic. The size of the total moment comes out at 0.0 μB per formula unit. The total energy is -5.018 eV/atom. For the volume, the calculation gives 187.9 Å³/f.u.

=====

Below is a relaxed Er2In4CuNi crystal, with properties calculated at the PBE-GGA level.

Unit cell a=7.263 b=4.397 c=10.499 alpha=90.00 beta=90.00 gamma=90.00
Space group Amm2 (No. 38)
One atom of each set of equivalent atoms:
Er 0.000 0.000 0.000 (multiplicity 2)
Er 0.500 0.000 0.144 (multiplicity 2)
In 0.205 0.000 0.714 (multiplicity 4)
In 0.300 0.000 0.435 (multiplicity 4)
Cu 0.000 0.000 0.282 (multiplicity 2)
Ni 0.500 0.000 0.867 (multiplicity 2)

Computed properties:
The crystal system is orthorhombic. The size of the total moment comes out at 0.0 μB per formula unit. The total energy is -4.045 eV/atom. For the volume, the calculation gives 167.6 Å³/f.u.

=====

Below is a relaxed TbEr2In3CuNi2 crystal, with properties calculated at the PBE-GGA level.

Unit cell a=3.821 b=12.879 c=7.440 alpha=90.00 beta=90.00 gamma=90.00
Space group Amm2 (No. 38)
One atom of each set of equivalent atoms:
Tb 0.000 0.000 0.000 (multiplicity 2)
Er 0.000 0.206 0.619 (multiplicity 4)
In 0.500 0.000 0.670 (multiplicity 2)
In 0.500 0.129 0.284 (multiplicity 4)
Cu 0.000 0.000 0.413 (multiplicity 2)
Ni 0.500 0.167 0.913 (multiplicity 4)

Computed properties:
The crystal system is orthorhombic. The size of the total moment comes out at 0.0 μB per formula unit. The total energy is -4.573 eV/atom. For the volume, the calculation gives 183.0 Å³/f.u.

=====

Below is a relaxed Er2TmIn3CuNi2 crystal, with properties calculated at the PBE-GGA level.

Unit cell a=3.805 b=12.823 c=7.403 alpha=90.00 beta=90.00 gamma=90.00
Space group Amm2 (No. 38)
One atom of each set of equivalent atoms:
Er 0.000 0.206 0.000 (multiplicity 4)
Tm 0.000 0.000 0.381 (multiplicity 2)
In 0.500 0.000 0.052 (multiplicity 2)
In 0.500 0.129 0.664 (multiplicity 4)
Cu 0.000 0.000 0.794 (multiplicity 2)
Ni 0.500 0.167 0.294 (multiplicity 4)

Computed properties:
The crystal system is orthorhombic. The size of the total moment comes out at 0.0 μB per formula unit. The total energy is -4.555 eV/atom. For the volume, the calculation gives 180.6 Å³/f.u.

=====

Below is a relaxed Y2ErIn3Cu2Ni crystal, with properties calculated at the PBE-GGA level.

Unit cell a=3.881 b=12.907 c=7.456 alpha=90.00 beta=90.00 gamma=90.00
Space group Amm2 (No. 38)
One atom of each set of equivalent atoms:
Y 0.000 0.203 0.000 (multiplicity 4)
Er 0.000 0.000 0.391 (multiplicity 2)
In 0.500 0.000 0.049 (multiplicity 2)
In 0.500 0.126 0.670 (multiplicity 4)
Cu 0.500 0.165 0.297 (multiplicity 4)
Ni 0.000 0.000 0.794 (multiplicity 2)

Computed properties:
The crystal system is orthorhombic. The size of the total moment comes out at 0.0 μB per formula unit. The total energy is -4.755 eV/atom. For the volume, the calculation gives 186.7 Å³/f.u.

=====

Below is a relaxed Er3ZnIn2CuNi2 crystal, with properties calculated at the PBE-GGA level.

Unit cell a=3.807 b=12.632 c=7.263 alpha=90.00 beta=90.00 gamma=90.00
Space group Amm2 (No. 38)
One atom of each set of equivalent atoms:
Er 0.000 0.000 0.000 (multiplicity 2)
Er 0.000 0.202 0.361 (multiplicity 4)
Zn 0.500 0.000 0.315 (multiplicity 2)
In 0.500 0.126 0.701 (multiplicity 4)
Cu 0.000 0.000 0.556 (multiplicity 2)
Ni 0.500 0.165 0.075 (multiplicity 4)

Computed properties:
The crystal system is orthorhombic. The size of the total moment comes out at 0.0 μB per formula unit. The total energy is -4.384 eV/atom. For the volume, the calculation gives 174.7 Å³/f.u.

=====

Copy entry 7 word for word.
Below is a relaxed ErLu2In3CuPt2 crystal, with properties calculated at the PBE-GGA level.

Unit cell a=3.645 b=13.377 c=7.704 alpha=90.00 beta=90.00 gamma=90.00
Space group Amm2 (No. 38)
One atom of each set of equivalent atoms:
Er 0.000 0.000 0.000 (multiplicity 2)
Lu 0.000 0.205 0.614 (multiplicity 4)
In 0.500 0.000 0.667 (multiplicity 2)
In 0.500 0.129 0.281 (multiplicity 4)
Cu 0.000 0.000 0.410 (multiplicity 2)
Pt 0.500 0.168 0.909 (multiplicity 4)

Computed properties:
The crystal system is orthorhombic. The size of the total moment comes out at 0.0 μB per formula unit. The total energy is -5.018 eV/atom. For the volume, the calculation gives 187.9 Å³/f.u.